Record 1
The following is a GGA-PBE calculation of a relaxed structure of La6Ho3Tm, from Alexandria.

The value obtained for the energy above the most stable polymorph in this dataset is 52 meV per atom. Its total energy is -4.54 eV per atom. The value obtained for the formation energy is 0.23 eV/atom. As for the volume: 35.8 Å³ per atom. As for the density of states at the Fermi level: 15.55 states/eV/f.u. The space group is R-3m, No. 166.

a = 9.070 Å, b = 9.070 Å, c = 9.070 Å
α = 80.09°, β = 80.09°, γ = 80.09°
Fractional coordinates of all 20 atoms:
1 La 0.038 0.038 0.332
2 La 0.038 0.332 0.038
3 La 0.211 0.211 0.595
4 La 0.211 0.595 0.211
5 La 0.332 0.038 0.038
6 La 0.405 0.789 0.789
7 La 0.595 0.211 0.211
8 La 0.668 0.962 0.962
9 La 0.789 0.405 0.789
10 La 0.789 0.789 0.405
11 La 0.962 0.668 0.962
12 La 0.962 0.962 0.668
13 Ho 0.135 0.605 0.605
14 Ho 0.395 0.395 0.865
15 Ho 0.395 0.865 0.395
16 Ho 0.605 0.135 0.605
17 Ho 0.605 0.605 0.135
18 Ho 0.865 0.395 0.395
19 Tm 0.000 0.000 0.000
20 Tm 0.500 0.500 0.500

Record 2
The following is a GGA-PBE calculation of a relaxed structure of La3HoTm2, from Alexandria.

The value obtained for the energy above the most stable polymorph in this dataset is 245 meV per atom. Its total energy is -4.39 eV per atom. The value obtained for the formation energy is 0.33 eV/atom. As for the volume: 34.2 Å³ per atom. As for the density of states at the Fermi level: 9.72 states/eV/f.u. The space group is Immm, No. 71.

a = 10.435 Å, b = 10.435 Å, c = 10.435 Å
α = 160.85°, β = 146.59°, γ = 38.79°
Fractional coordinates of all 6 atoms:
1 La 0.000 0.000 0.000
2 La 0.313 0.813 0.500
3 La 0.687 0.187 0.500
4 Ho 0.500 0.000 0.500
5 Tm 0.138 0.638 0.500
6 Tm 0.862 0.362 0.500